The following is a meta-GGA SCAN calculation of Ca4AgSe at its PBEsol-relaxed geometry, from Alexandria via LeMat-Bulk.

abc: 9.1013 9.1013 9.1013
angles: 90.00 90.00 90.00
Last column: nearest neighbours and their distance in Å.
Space group F-43m (No. 216)
Symmetry-distinct sites (fractional):
Ca 0.1253 0.1253 0.1253 [16 per cell]  6 Ca 3.21-3.23
Ag 0.2500 0.2500 0.7500 [4 per cell]  12 Ca 3.77, 4 Se 3.94
Se 0.0000 0.0000 0.5000 [4 per cell]  12 Ca 3.77, 4 Ag 3.94

The calculation puts the total magnetization at 1.21 μB/f.u. As for the density of states at the Fermi level: 17.9 states/eV per cell. The uncorrected formation energy is 227.0 meV per atom. The electronic total energy is -14.790 eV/atom.